CaCu4Si4 GGA-PBE relaxed; VASP energy = -4.535 eV per atom; formation energy without anion corrections = -71 kJ/mol of formula units; magnetic moment = 0.00 μB/f.u.; SG = P4_2/nmc (137); density of states at the Fermi level = 0.463 states/eV per atom
1.0
-3.2609 -3.8188 2.8961
-1.8265 -2.2483 -5.0213
6.2896 -5.3045 0.0873
Si Ca Cu
8 2 8
Cartesian
-0.9437 -2.4749 -1.8948
3.2670 -3.8559 -1.4058
2.5626 -8.4407 -2.4429
1.5448 -3.2110 0.8758
2.5016 -4.7981 -3.5100
0.1783 -4.8113 2.0895
-2.8381 -4.6934 -0.2123
3.6237 -7.1345 0.4742
0.6011 -5.6859 -1.0189
0.0000 0.0000 0.0000
3.4387 -4.7065 0.8566
1.4520 -2.2665 -1.3537
-0.8509 -3.4194 0.3347
-1.8554 -4.6560 -2.4269
0.6300 -3.2783 -3.6133
3.4521 -6.2839 -1.7882
1.6586 -8.3842 -0.1954
1.9712 -6.4251 2.1599